A relaxed NdHo4Sn4 crystal. Source: Alexandria, functional PBE.

```
NdHo4Sn4
1.0
6.110 0.000 0.000
0.000 9.865 0.000
0.000 0.000 9.865
Ho Nd Sn
8 2 8
direct
0.892 0.396 0.153 Ho
0.892 0.604 0.847 Ho
0.108 0.847 0.396 Ho
0.392 0.347 0.896 Ho
0.108 0.153 0.604 Ho
0.392 0.653 0.104 Ho
0.608 0.896 0.653 Ho
0.608 0.104 0.347 Ho
0.000 0.000 0.000 Nd
0.500 0.500 0.500 Nd
0.902 0.288 0.861 Sn
0.402 0.361 0.212 Sn
0.098 0.861 0.712 Sn
0.402 0.639 0.788 Sn
0.902 0.712 0.139 Sn
0.598 0.212 0.639 Sn
0.598 0.788 0.361 Sn
0.098 0.139 0.288 Sn
```

Output
Total magnetic moment   0.000 μB per atom
Space group   P4_2/n (86)
Formation energy from the elements   -3.786 eV per formula unit
Mass density   7.1 g/cm3